Ac4RuSI2 | PBE | relaxed

Cell and atoms, written as POSCAR:
```
Ac4RuSI2
1.0
7.903 0.000 0.000
0.000 4.301 0.000
-2.402 0.000 8.462
Ac Ru S I
4 1 1 2
Direct
0.210 0.000 0.186
0.258 0.500 0.809
0.742 0.500 0.191
0.790 0.000 0.814
0.000 0.500 0.000
0.500 0.000 0.000
0.000 0.000 0.500
0.500 0.500 0.500
```

Computed properties:
Space-group type: P2/m (10)
ΔE_f (raw) (meV/atom): -1081
D(E_F) (states/eV per cell): 5.890

=====

Ac8SbRu3I4 | PBE | relaxed

Cell and atoms, written as POSCAR:
```
Ac8SbRu3I4
1.0
4.528 2.614 8.488
-4.528 2.614 8.488
0.000 -5.228 8.488
Ac Sb Ru I
8 1 3 4
Direct
0.199 0.743 0.743
0.231 0.231 0.231
0.257 0.257 0.801
0.257 0.801 0.257
0.743 0.199 0.743
0.743 0.743 0.199
0.769 0.769 0.769
0.801 0.257 0.257
0.500 0.500 0.500
0.000 0.000 0.500
0.000 0.500 0.000
0.500 0.000 0.000
0.000 0.000 0.000
0.000 0.500 0.500
0.500 0.000 0.500
0.500 0.500 0.000
```

Computed properties:
Space-group type: R-3m (166)
ΔE_f (raw) (meV/atom): -784
D(E_F) (states/eV per cell): 11.631

=====

Magnetization values (in μB per cell) by entry order: 0.00, 0.00.